CsUBr6 after structural relaxation, computed with PBE.

Summary:
Formation energy without anion corrections (eV per atom): -1.42
Mass density (Mg/m³): 3.92

The structure in POSCAR format:
```
CsUBr6
1.0
7.6967 0.0000 0.0000
3.8484 6.6656 0.0000
3.8484 2.2219 7.0280
Cs U Br
1 1 6
direct
0.5000 0.5000 0.5000
0.0000 0.0000 0.0000
0.9096 0.9096 0.7769
0.4039 0.9096 0.7769
0.0904 0.5961 0.2231
0.5961 0.0904 0.2231
0.0904 0.0904 0.2231
0.9096 0.4039 0.7769
```

AlIrC3 after structural relaxation, computed with PBE.

Summary:
Fermi-level density of states (states/eV/f.u.): 2.7
Total DFT energy (no corrections) (eV per atom): -5.9996
Mass density (Mg/m³): 6.60

The structure in POSCAR format:
```
AlIrC3
1.0
4.0041 0.0000 0.0000
0.0000 4.0041 0.0000
0.0000 0.0000 4.0041
C Ir Al
3 1 1
direct
0.0000 0.5000 0.0000
0.0000 0.0000 0.5000
0.5000 0.0000 0.0000
0.0000 0.0000 0.0000
0.5000 0.5000 0.5000
```

KBa12Au5 after structural relaxation, computed with PBE.

Summary:
Fermi-level density of states (states/eV/f.u.): 19.3
Total DFT energy (no corrections) (eV per atom): -2.6436
Mass density (Mg/m³): 5.24

The structure in POSCAR format:
```
KBa12Au5
1.0
9.5879 0.0134 -3.8624
-4.8979 8.6138 -2.9426
-0.1967 -0.0134 10.3347
K Ba Au
1 12 5
direct
0.0000 0.5000 0.5000
0.5309 0.8266 0.7043
0.4691 0.1734 0.2957
0.8776 0.1734 0.7043
0.1224 0.8266 0.2957
0.6810 0.6744 0.3554
0.3190 0.3256 0.6446
0.3190 0.6744 0.9934
0.6810 0.3256 0.0066
0.8152 0.6151 0.7998
0.1848 0.3849 0.2002
0.1848 0.9846 0.7998
0.8152 0.0154 0.2002
0.6367 0.6367 0.0000
0.3633 0.3633 0.0000
0.5000 0.1203 0.6203
0.5000 0.8797 0.3797
0.0000 0.0000 0.0000
```

YMnCd after structural relaxation, computed with PBE.

Summary:
Fermi-level density of states (states/eV/f.u.): 3.9
Total DFT energy (no corrections) (eV per atom): -5.4640
Mass density (Mg/m³): 6.16

The structure in POSCAR format:
```
YMnCd
1.0
-3.3956 3.2258 -0.9131
-0.5226 -3.0516 3.6311
1.5856 2.2748 2.1400
Cd Mn Y
1 1 1
direct
0.0000 0.0000 0.1665
0.6667 0.3333 0.1669
0.3333 0.6667 0.6666
```